# SiTe2 (PBE, relaxed)
data_SiTe2
_cell_length_a 6.935
_cell_length_b 6.935
_cell_length_c 6.935
_cell_angle_alpha 90.00
_cell_angle_beta 90.00
_cell_angle_gamma 90.00
_symmetry_space_group_name_H-M 'F m -3 m'
_symmetry_Int_Tables_number 225
_symmetry_space_group_name_Hall '-F 4 2 3'
loop_
_atom_site_label
_atom_site_type_symbol
_atom_site_fract_x
_atom_site_fract_y
_atom_site_fract_z
_atom_site_occupancy
Si1 Si 0.000 0.000 0.000 1
Te1 Te 0.250 0.250 0.250 1
# E_form (uncorrected), eV per atom: 0.425
# Magnetization, μB per formula unit: 0.0